1.
A plane-wave DFT calculation with PBE-GGA was carried out for a relaxed structure of PPbAu2.

Results
* final energy: -0.1326 hartree per atom
* relative energy among the computed polymorphs: 0.3076 eV per atom

a = 6.925 Å, b = 6.925 Å, c = 6.925 Å
α = 90.00°, β = 90.00°, γ = 90.00°
Space group Fm-3m (No. 225)
Asymmetric unit:
P (0.000, 0.000, 0.000) (multiplicity 4)
Pb (0.000, 0.000, 0.500) (multiplicity 4)
Au (0.250, 0.250, 0.250) (multiplicity 8)

2.
A plane-wave DFT calculation with PBE-GGA was carried out for a relaxed structure of AlRhPb2.

Results
* final energy: -0.1694 hartree per atom

a = 9.418 Å, b = 9.418 Å, c = 4.763 Å
α = 90.00°, β = 90.00°, γ = 90.00°
Space group I-42d (No. 122)
Asymmetric unit:
Al (0.000, 0.000, 0.000) (multiplicity 4)
Rh (0.000, 0.000, 0.500) (multiplicity 4)
Pb (0.135, 0.250, 0.625) (multiplicity 8)

3.
A plane-wave DFT calculation with PBE-GGA was carried out for a relaxed structure of LaNb3I.

Results
* final energy: -0.2269 hartree per atom
* uncorrected formation energy: 1.16 eV per atom
* relative energy among the computed polymorphs: 0.0000 eV per atom

a = 5.116 Å, b = 5.116 Å, c = 5.116 Å
α = 90.00°, β = 90.00°, γ = 90.00°
Space group Pm-3m (No. 221)
Asymmetric unit:
La (0.000, 0.000, 0.000) (multiplicity 1)
Nb (0.000, 0.500, 0.500) (multiplicity 3)
I (0.500, 0.500, 0.500) (multiplicity 1)

4.
A plane-wave DFT calculation with PBE-GGA was carried out for a relaxed structure of CaIr.

Results
* final energy: -0.1965 hartree per atom

a = 4.165 Å, b = 4.165 Å, c = 9.147 Å
α = 90.00°, β = 90.00°, γ = 90.00°
Space group I4_1/amd (No. 141, origin choice 2)
Asymmetric unit:
Ca (0.000, 0.250, 0.375) (multiplicity 4)
Ir (0.000, 0.250, 0.875) (multiplicity 4)

5.
A plane-wave DFT calculation with PBE-GGA was carried out for a relaxed structure of KNaSn2Br6.

Results
* final energy: -0.1164 hartree per atom
* uncorrected formation energy: -1.12 eV per atom

a = 7.675 Å, b = 7.928 Å, c = 8.150 Å
α = 62.69°, β = 62.82°, γ = 61.64°
Space group P1 (No. 1)
Asymmetric unit:
K (0.000, 0.000, 0.000) (multiplicity 1)
Na (0.475, 0.491, 0.538) (multiplicity 1)
Sn (0.301, 0.298, 0.123) (multiplicity 1)
Sn (0.807, 0.785, 0.607) (multiplicity 1)
Br (0.060, 0.437, 0.825) (multiplicity 1)
Br (0.179, 0.887, 0.361) (multiplicity 1)
Br (0.417, 0.644, 0.856) (multiplicity 1)
Br (0.567, 0.201, 0.334) (multiplicity 1)
Br (0.623, 0.094, 0.855) (multiplicity 1)
Br (0.875, 0.589, 0.356) (multiplicity 1)

6.
A plane-wave DFT calculation with PBE-GGA was carried out for a relaxed structure of Nd8PSe4S3.

Results
* final energy: -0.2306 hartree per atom
* uncorrected formation energy: -1.91 eV per atom

a = 8.2842 Å, b = 8.2842 Å, c = 20.6833 Å
α = 90.00°, β = 90.00°, γ = 120.00°
Space group R-3m (No. 166, hexagonal axes)
Asymmetric unit:
Nd (0.0000, 0.0000, 0.2423) (multiplicity 6)
Nd (0.0034, 0.5017, 0.2423) (multiplicity 18)
P (0.0000, 0.0000, 0.5000) (multiplicity 3)
Se (0.0000, 0.0000, 0.0000) (multiplicity 3)
Se (0.0000, 0.5000, 0.0000) (multiplicity 9)
S (0.0000, 0.5000, 0.5000) (multiplicity 9)

7.
A plane-wave DFT calculation with PBE-GGA was carried out for a relaxed structure of LiTlSnAs2.

Results
* final energy: -0.1364 hartree per atom

a = 13.966 Å, b = 4.344 Å, c = 10.573 Å
α = 90.00°, β = 124.73°, γ = 90.00°
Space group C2/m (No. 12)
Asymmetric unit:
Li (0.144, 0.000, 0.423) (multiplicity 4)
Tl (0.186, 0.500, 0.147) (multiplicity 4)
Sn (0.046, 0.500, 0.695) (multiplicity 4)
As (0.065, 0.000, 0.861) (multiplicity 4)
As (0.168, 0.500, 0.574) (multiplicity 4)

8.
A plane-wave DFT calculation with PBE-GGA was carried out for a relaxed structure of GeB3C.

Results
* final energy: -0.1831 hartree per atom
* relative energy among the computed polymorphs: 0.0000 eV per atom

a = 3.560 Å, b = 3.560 Å, c = 3.560 Å
α = 90.00°, β = 90.00°, γ = 90.00°
Space group Pm-3m (No. 221)
Asymmetric unit:
Ge (0.000, 0.000, 0.000) (multiplicity 1)
B (0.000, 0.500, 0.500) (multiplicity 3)
C (0.500, 0.500, 0.500) (multiplicity 1)

9.
A plane-wave DFT calculation with PBE-GGA was carried out for a relaxed structure of CoAs2Rh.

Results
* final energy: -0.2186 hartree per atom
* relative energy among the computed polymorphs: 0.3244 eV per atom

a = 3.054 Å, b = 3.103 Å, c = 6.097 Å
α = 90.00°, β = 90.00°, γ = 90.00°
Space group Pmmm (No. 47)
Asymmetric unit:
Co (0.000, 0.000, 0.000) (multiplicity 1)
As (0.500, 0.500, 0.241) (multiplicity 2)
Rh (0.000, 0.000, 0.500) (multiplicity 1)

10.
A plane-wave DFT calculation with PBE-GGA was carried out for a relaxed structure of Ba3LaTi2O9.

Results
* final energy: -0.2815 hartree per atom
* uncorrected formation energy: -2.92 eV per atom

a = 5.9526 Å, b = 5.9526 Å, c = 7.5900 Å
α = 90.00°, β = 90.00°, γ = 120.00°
Space group P-3m1 (No. 164)
Asymmetric unit:
Ba (0.0000, 0.0000, 0.0000) (multiplicity 1)
Ba (0.3333, 0.6667, 0.7089) (multiplicity 2)
La (0.0000, 0.0000, 0.5000) (multiplicity 1)
Ti (0.3333, 0.6667, 0.1721) (multiplicity 2)
O (0.0000, 0.5000, 0.0000) (multiplicity 3)
O (0.1774, 0.3548, 0.3023) (multiplicity 6)

11.
A plane-wave DFT calculation with PBE-GGA was carried out for a relaxed structure of PrZn2PtAu2.

Results
* final energy: -0.1373 hartree per atom

a = 4.850 Å, b = 4.850 Å, c = 5.566 Å
α = 90.00°, β = 90.00°, γ = 90.00°
Space group P4/mmm (No. 123)
Asymmetric unit:
Pr (0.000, 0.000, 0.000) (multiplicity 1)
Zn (0.000, 0.500, 0.500) (multiplicity 2)
Pt (0.000, 0.000, 0.500) (multiplicity 1)
Au (0.500, 0.500, 0.241) (multiplicity 2)

12.
A plane-wave DFT calculation with PBE-GGA was carried out for a relaxed structure of Sr3TiCu2S6.

Results
* final energy: -0.1840 hartree per atom
* uncorrected formation energy: -1.18 eV per atom

a = 7.0165 Å, b = 7.0165 Å, c = 7.3504 Å
α = 90.00°, β = 90.00°, γ = 120.00°
Space group P-3m1 (No. 164)
Asymmetric unit:
Sr (0.0000, 0.0000, 0.0000) (multiplicity 1)
Sr (0.3333, 0.6667, 0.6215) (multiplicity 2)
Ti (0.0000, 0.0000, 0.5000) (multiplicity 1)
Cu (0.3333, 0.6667, 0.2133) (multiplicity 2)
S (0.1605, 0.3209, 0.2988) (multiplicity 6)

13.
A plane-wave DFT calculation with PBE-GGA was carried out for a relaxed structure of CsRbBrF.

Results
* final energy: -0.1279 hartree per atom
* uncorrected formation energy: -2.14 eV per atom
* relative energy among the computed polymorphs: 0.0000 eV per atom

a = 5.7040 Å, b = 5.7040 Å, c = 34.5939 Å
α = 90.00°, β = 90.00°, γ = 120.00°
Space group R-3m (No. 166, hexagonal axes)
Asymmetric unit:
Cs (0.0000, 0.0000, 0.1261) (multiplicity 6)
Rb (0.0000, 0.0000, 0.2830) (multiplicity 6)
Br (0.0000, 0.0000, 0.3855) (multiplicity 6)
F (0.0000, 0.0000, 0.2059) (multiplicity 6)

14.
A plane-wave DFT calculation with PBE-GGA was carried out for a relaxed structure of DyY3Bi2C.

Results
* final energy: -0.2395 hartree per atom

a = 4.861 Å, b = 4.861 Å, c = 16.029 Å
α = 90.00°, β = 90.00°, γ = 90.00°
Space group Immm (No. 71)
Asymmetric unit:
Dy (0.000, 0.000, 0.000) (multiplicity 2)
Y (0.000, 0.000, 0.500) (multiplicity 2)
Y (0.000, 0.500, 0.153) (multiplicity 4)
Bi (0.000, 0.500, 0.356) (multiplicity 4)
C (0.000, 0.500, 0.000) (multiplicity 2)

15.
A plane-wave DFT calculation with PBE-GGA was carried out for a relaxed structure of CuAs2HSe.

Results
* final energy: -0.1255 hartree per atom
* relative energy among the computed polymorphs: 0.0000 eV per atom

a = 3.888 Å, b = 3.888 Å, c = 5.281 Å
α = 90.00°, β = 90.00°, γ = 90.00°
Space group P4/mmm (No. 123)
Asymmetric unit:
Cu (0.000, 0.000, 0.000) (multiplicity 1)
As (0.000, 0.500, 0.500) (multiplicity 2)
H (0.500, 0.500, 0.500) (multiplicity 1)
Se (0.500, 0.500, 0.000) (multiplicity 1)

16.
A plane-wave DFT calculation with PBE-GGA was carried out for a relaxed structure of AcGd2Zn.

Results
* final energy: -0.3095 hartree per atom
* relative energy among the computed polymorphs: 0.1092 eV per atom

a = 3.7463 Å, b = 3.7463 Å, c = 31.6383 Å
α = 90.00°, β = 90.00°, γ = 120.00°
Space group R-3m (No. 166, hexagonal axes)
Asymmetric unit:
Ac (0.0000, 0.0000, 0.0000) (multiplicity 3)
Gd (0.0000, 0.0000, 0.2352) (multiplicity 6)
Zn (0.0000, 0.0000, 0.5000) (multiplicity 3)

17.
A plane-wave DFT calculation with PBE-GGA was carried out for a relaxed structure of CeZrN2.

Results
* final energy: -0.3374 hartree per atom
* uncorrected formation energy: -1.40 eV per atom

a = 3.3241 Å, b = 3.3241 Å, c = 17.6882 Å
α = 90.00°, β = 90.00°, γ = 120.00°
Space group R3m (No. 160, hexagonal axes)
Asymmetric unit:
Ce (0.0000, 0.0000, 0.0000) (multiplicity 3)
Zr (0.0000, 0.0000, 0.8244) (multiplicity 3)
N (0.0000, 0.0000, 0.4183) (multiplicity 3)
N (0.0000, 0.0000, 0.5725) (multiplicity 3)

18.
A plane-wave DFT calculation with PBE-GGA was carried out for a relaxed structure of LiYTaCo2.

Results
* final energy: -0.2186 hartree per atom

a = 4.221 Å, b = 4.221 Å, c = 4.300 Å
α = 90.00°, β = 90.00°, γ = 90.00°
Space group P4/mmm (No. 123)
Asymmetric unit:
Li (0.000, 0.000, 0.000) (multiplicity 1)
Y (0.000, 0.000, 0.500) (multiplicity 1)
Ta (0.500, 0.500, 0.500) (multiplicity 1)
Co (0.000, 0.500, 0.000) (multiplicity 2)

19.
A plane-wave DFT calculation with PBE-GGA was carried out for a relaxed structure of Zr2ReNi.

Results
* final energy: -0.3367 hartree per atom

a = 3.297 Å, b = 3.312 Å, c = 6.415 Å
α = 90.00°, β = 90.00°, γ = 90.00°
Space group Pmmm (No. 47)
Asymmetric unit:
Zr (0.000, 0.000, 0.250) (multiplicity 2)
Re (0.500, 0.500, 0.000) (multiplicity 1)
Ni (0.500, 0.500, 0.500) (multiplicity 1)

20.
A plane-wave DFT calculation with PBE-GGA was carried out for a relaxed structure of CoPd2RhSe8.

Results
* final energy: -0.1556 hartree per atom
* uncorrected formation energy: 0.16 eV per atom

a = 7.972 Å, b = 7.972 Å, c = 8.450 Å
α = 90.00°, β = 90.00°, γ = 90.00°
Space group I-4m2 (No. 119)
Asymmetric unit:
Co (0.000, 0.000, 0.000) (multiplicity 2)
Pd (0.000, 0.000, 0.500) (multiplicity 2)
Pd (0.000, 0.500, 0.250) (multiplicity 2)
Rh (0.000, 0.500, 0.750) (multiplicity 2)
Se (0.000, 0.176, 0.737) (multiplicity 8)
Se (0.000, 0.315, 0.020) (multiplicity 8)

| no. | theoretical density (g/cm3) |
| --- | --- |
| 1 | 12.6 |
| 2 | 8.6 |
| 3 | 6.8 |
| 4 | 9.7 |
| 5 | 3.5 |
| 6 | 6.5 |
| 7 | 6.0 |
| 8 | 4.3 |
| 9 | 9.0 |
| 10 | 5.6 |
| 11 | 10.9 |
| 12 | 3.3 |
| 13 | 3.2 |
| 14 | 7.5 |
| 15 | 6.1 |
| 16 | 7.9 |
| 17 | 7.6 |
| 18 | 8.6 |
| 19 | 10.1 |
| 20 | 6.2 |